First-principles (PBE-GGA) data for an optimized crystal structure of In2RhO4, as listed in Alexandria.

```
7
Lattice="3.282 0.000 0.000 0.000 5.319 -1.758 0.000 0.335 5.592" Properties=species:S:1:pos:R:3 pbc="T T T"
O 1.641 1.087 0.737
In 1.641 2.660 -0.879
Rh 0.000 0.000 0.000
O 0.000 1.508 3.863
O 0.000 4.146 -0.029
O 1.641 4.567 3.097
In 1.641 0.168 2.796
```

Magnetization, μB per atom: 0.000
Raw total energy, eV per atom: -5.7027

***

First-principles (PBE-GGA) data for an optimized crystal structure of LaMg2CoSi, as listed in Alexandria.

```
5
Lattice="-2.483 -4.169 -0.280 2.364 -1.674 3.968 -3.462 1.871 2.853" Properties=species:S:1:pos:R:3 pbc="T T T"
Co 0.000 0.000 0.000
Si -1.791 -1.986 3.270
Mg -1.242 -2.085 -0.140
La 1.182 -0.837 1.984
Mg -1.731 0.935 1.426
```

Magnetization, μB per atom: 0.000
Raw total energy, eV per atom: -3.9737
Excess energy over the best structure of this formula in the dataset, eV per atom: 0.406

***

First-principles (PBE-GGA) data for an optimized crystal structure of KNaTi4Bi2O12, as listed in Alexandria.

```
20
Lattice="6.048 0.312 0.519 3.389 5.019 0.519 3.854 2.177 9.733" Properties=species:S:1:pos:R:3 pbc="T T T"
Na 6.498 3.671 8.598
Ti 3.125 1.765 2.542
O 5.394 4.648 6.565
O 6.816 5.452 4.489
O 6.765 2.221 6.565
O 8.188 3.024 4.489
O 8.416 4.755 7.045
O 8.816 6.509 9.368
O 4.857 1.238 1.700
Bi 5.805 3.279 1.518
O 3.567 3.521 1.700
Ti 9.704 5.482 7.971
O 5.314 3.002 4.065
O 11.932 6.740 9.483
Ti 6.473 3.657 5.191
O 10.125 4.192 9.368
Ti 13.106 7.404 10.596
O 1.903 1.075 1.517
Bi 2.941 1.662 5.893
K 9.547 5.393 4.497
```

Magnetization, μB per atom: 0.000
Raw total energy, eV per atom: -7.4860

***

First-principles (PBE-GGA) data for an optimized crystal structure of BaPrRh, as listed in Alexandria.

```
3
Lattice="-2.944 -0.371 -2.240 1.748 -2.711 -1.849 -2.204 -3.327 6.532" Properties=species:S:1:pos:R:3 pbc="T T T"
Rh -1.640 -3.350 -0.376
Ba -0.187 -0.325 0.300
Pr -1.573 -2.733 2.520
```

Magnetization, μB per atom: 0.000
Raw total energy, eV per atom: -4.9457
E_form, eV per formula unit: -0.78
Excess energy over the best structure of this formula in the dataset, eV per atom: 0.082